DFT (PBE-GGA) results for a geometry-optimized Pr2MgI2N2 structure.

a b c (Å): 4.1562 4.1562 11.0440
angles (deg): 100.85 100.85 90.00
Closest atoms and distances in Å follow each position.
Atoms (fractional coordinates):
Pr (0.4276, 0.4276, 0.8553)  4 N 2.59
I (0.8418, 0.8418, 0.6837)  1 Mg 3.37, 4 Pr 3.46
Mg (0.0000, 0.0000, 0.0000)  4 N 2.08
N (0.5000, 0.0000, 0.0000)  2 Mg 2.08
N (0.0000, 0.5000, 0.0000)  2 Mg 2.08
Pr (0.5724, 0.5724, 0.1447)  4 N 2.59
I (0.1582, 0.1582, 0.3163)  1 Mg 3.37, 4 Pr 3.46

Calculated values
The total energy is -5.626 eV/atom. As for the space group: No. 139. The crystal system is tetragonal. As for the density of states at the Fermi level: 0.16 states/eV/cell.

***

DFT (PBE-GGA) results for a geometry-optimized Rb2MgI6N structure.

a b c (Å): 7.9769 7.9769 7.9797
angles (deg): 60.01 60.01 90.00
Closest atoms and distances in Å follow each position.
Atoms (fractional coordinates):
Rb (0.2500, 0.7500, 0.5000)  12 I 3.99
I (0.7375, 0.2625, 0.0000)  1 N 2.68, 1 Mg 2.96
I (0.2628, 0.2628, 0.4744)  1 N 2.68, 1 Mg 2.97
I (0.2625, 0.2625, 0.0000)  1 N 2.68, 1 Mg 2.96
I (0.7375, 0.7375, 0.0000)  1 N 2.68, 1 Mg 2.96
I (0.2625, 0.7375, 0.0000)  1 N 2.68, 1 Mg 2.96
N (0.5000, 0.5000, 0.0000)  6 I 2.68
I (0.7372, 0.7372, 0.5256)  1 N 2.68, 1 Mg 2.97
Rb (0.7500, 0.2500, 0.5000)  12 I 3.99
Mg (0.0000, 0.0000, 0.0000)  6 I 2.96-2.97

Calculated values
The total energy is -2.459 eV/atom. As for the space group: No. 225. The crystal system is cubic. As for the density of states at the Fermi level: 4.54 states/eV/cell.

***

DFT (PBE-GGA) results for a geometry-optimized RbMgI2N structure.

a b c (Å): 6.1440 6.1440 4.2687
angles (deg): 90.00 90.00 90.00
Closest atoms and distances in Å follow each position.
Atoms (fractional coordinates):
Mg (0.0000, 0.0000, 0.0000)  2 N 2.13
I (0.5000, 0.0000, 0.0000)  2 Mg 3.07
N (0.0000, 0.0000, 0.5000)  2 Mg 2.13
Rb (0.5000, 0.5000, 0.5000)  8 I 3.74
I (0.0000, 0.5000, 0.0000)  2 Mg 3.07

Calculated values
The total energy is -3.176 eV/atom. As for the space group: No. 123. The crystal system is tetragonal.

***

DFT (PBE-GGA) results for a geometry-optimized RbMgI2N structure.

a b c (Å): 6.7904 6.7904 5.3518
angles (deg): 90.00 90.00 90.00
Closest atoms and distances in Å follow each position.
Atoms (fractional coordinates):
I (0.0000, 0.5000, 0.0000)  2 Rb 3.40
Mg (0.5000, 0.5000, 0.5000)  8 I 4.32, 4 N 4.80
Rb (0.0000, 0.0000, 0.0000)  2 N 2.68
N (0.0000, 0.0000, 0.5000)  2 Rb 2.68
I (0.5000, 0.0000, 0.0000)  2 Rb 3.40

Calculated values
The total energy is -2.087 eV/atom. As for the space group: No. 123. The crystal system is tetragonal. As for the density of states at the Fermi level: 3.49 states/eV/cell.

***

DFT (PBE-GGA) results for a geometry-optimized MgReIN2 structure.

a b c (Å): 4.1185 4.1185 5.5380
angles (deg): 90.00 90.00 90.00
Closest atoms and distances in Å follow each position.
Atoms (fractional coordinates):
I (0.0000, 0.0000, 0.5000)  2 Mg 2.77, 4 Re 2.91
N (0.5000, 0.0000, 0.0000)  2 Mg 2.06
N (0.0000, 0.5000, 0.0000)  2 Mg 2.06
Mg (0.0000, 0.0000, 0.0000)  4 N 2.06
Re (0.5000, 0.5000, 0.5000)  4 I 2.91

Calculated values
The total energy is -4.371 eV/atom. As for the space group: No. 123. The crystal system is tetragonal. As for the density of states at the Fermi level: 3.14 states/eV/cell.

***

DFT (PBE-GGA) results for a geometry-optimized MgReIN2 structure.

a b c (Å): 3.9384 3.9384 5.8327
angles (deg): 90.00 90.00 90.00
Closest atoms and distances in Å follow each position.
Atoms (fractional coordinates):
I (0.0000, 0.0000, 0.5000)  4 Mg 2.78, 2 Re 2.92
Re (0.0000, 0.0000, 0.0000)  4 N 1.97
N (0.5000, 0.0000, 0.0000)  2 Re 1.97
N (0.0000, 0.5000, 0.0000)  2 Re 1.97
Mg (0.5000, 0.5000, 0.5000)  4 I 2.78

Calculated values
The total energy is -5.954 eV/atom. As for the space group: No. 123. The crystal system is tetragonal. As for the density of states at the Fermi level: 3.70 states/eV/cell.

***

DFT (PBE-GGA) results for a geometry-optimized MgRuI2N structure.

a b c (Å): 5.6111 5.6111 3.7403
angles (deg): 90.00 90.00 90.00
Closest atoms and distances in Å follow each position.
Atoms (fractional coordinates):
N (0.0000, 0.0000, 0.5000)  2 Ru 1.87
Mg (0.5000, 0.5000, 0.5000)  8 I 3.37, 2 Mg 3.74
I (0.5000, 0.0000, 0.0000)  2 Ru 2.81
Ru (0.0000, 0.0000, 0.0000)  2 N 1.87
I (0.0000, 0.5000, 0.0000)  2 Ru 2.81

Calculated values
The total energy is -4.284 eV/atom. As for the space group: No. 123. The crystal system is tetragonal. As for the density of states at the Fermi level: 2.14 states/eV/cell.

***

DFT (PBE-GGA) results for a geometry-optimized MgRuI2N structure.

a b c (Å): 5.7420 5.7420 4.0020
angles (deg): 90.00 90.00 90.00
Closest atoms and distances in Å follow each position.
Atoms (fractional coordinates):
N (0.0000, 0.0000, 0.5000)  2 Mg 2.00
Mg (0.0000, 0.0000, 0.0000)  2 N 2.00
I (0.5000, 0.0000, 0.0000)  2 Mg 2.87
Ru (0.5000, 0.5000, 0.5000)  8 I 3.50
I (0.0000, 0.5000, 0.0000)  2 Mg 2.87

Calculated values
The total energy is -3.459 eV/atom. As for the space group: No. 123. The crystal system is tetragonal. As for the density of states at the Fermi level: 1.18 states/eV/cell.